Here is an optimized crystal structure of CoRuI3 from the Alexandria database. Energies are from PBE-GGA.

a b c (Å): 5.3870 5.3870 5.3870
angles (deg): 90.00 90.00 90.00
Closest atoms and distances in Å follow each position.
Atoms (fractional coordinates):
I: 0.0000 0.5000 0.0000  2 Ru 2.69
I: 0.0000 0.0000 0.5000  2 Ru 2.69
I: 0.5000 0.0000 0.0000  2 Ru 2.69
Ru: 0.0000 0.0000 0.0000  6 I 2.69
Co: 0.5000 0.5000 0.5000  12 I 3.81

Computed properties:
- energy above the lowest structure with this stoichiometry (eV per atom) = 0.000
- theoretical density (kg/m3) = 5743
- total magnetization (μB per atom) = 0.467
- formation energy from raw total energies (meV/atom) = 978

---

Here is an optimized crystal structure of NaSn2SbIr from the Alexandria database. Energies are from PBE-GGA.

a b c (Å): 5.1375 5.1585 5.1375
angles (deg): 90.00 90.00 90.00
Closest atoms and distances in Å follow each position.
Atoms (fractional coordinates):
Sb: 0.0000 0.5000 0.0000  2 Na 2.58
Ir: 0.5000 0.5000 0.5000  4 Sb 3.63, 8 Sn 3.64
Sn: 0.0000 0.0000 0.5000  2 Na 2.57
Sn: 0.5000 0.0000 0.0000  2 Na 2.57
Na: 0.0000 0.0000 0.0000  4 Sn 2.57, 2 Sb 2.58

Computed properties:
- energy above the lowest structure with this stoichiometry (eV per atom) = 0.719
- theoretical density (kg/m3) = 7005
- total magnetization (μB per atom) = 0.000
- formation energy from raw total energies (meV/atom) = 1386

---

E_tot, respectively: -16.14, -15.38 eV/cell.